! Tb3C PBE-GGA optimized geometry; values from VASP
! * volume: 101.54 Å³ per cell
! * symmetry: No. 44
! * formation energy: 5.1 kJ/mol of atoms
&SYSTEM
  ibrav = 0, nat = 4, ntyp = 2
/
ATOMIC_SPECIES
C 12.01 C.upf
Tb 158.93 Tb.upf
ATOMIC_POSITIONS angstrom
C -0.119 -0.251 -0.068
Tb -3.642 -1.309 1.348
Tb -1.607 -1.106 -1.819
Tb -1.772 1.671 -0.233
CELL_PARAMETERS angstrom
-1.493 1.425 -2.651
-2.506 -5.296 -1.436
-1.976 3.047 4.881

***

! Tb2C3 PBE-GGA optimized geometry; values from VASP
! * volume: 284.67 Å³ per cell
! * symmetry: No. 220
! * formation energy: -24.9 kJ/mol of atoms
&SYSTEM
  ibrav = 0, nat = 20, ntyp = 2
/
ATOMIC_SPECIES
C 12.01 C.upf
Tb 158.93 Tb.upf
ATOMIC_POSITIONS angstrom
C -4.741 0.102 -1.373
C -3.161 -3.777 -1.777
C -4.306 2.170 1.058
C -2.465 4.047 -2.228
C -4.547 -0.986 1.652
C -2.115 0.463 4.767
C -3.364 3.780 -3.183
C -3.407 2.437 2.013
C -3.915 -4.430 -0.885
C -3.987 0.756 -2.265
C -2.759 1.600 5.056
C -3.902 -2.124 1.364
Tb -6.392 0.605 0.629
Tb -3.100 -1.471 -3.067
Tb -2.490 -1.787 3.433
Tb -2.241 3.999 0.405
Tb -2.836 0.268 0.279
Tb -1.538 1.714 -2.523
Tb -1.019 1.640 2.818
Tb -1.719 -2.950 0.126
CELL_PARAMETERS angstrom
-2.444 4.718 -4.826
-3.124 -6.370 -1.087
-1.544 2.325 6.613

***

! TbC2 PBE-GGA optimized geometry; values from VASP
! * energy above the most stable polymorph in this dataset: 0 meV per atom
! * volume: 86.26 Å³ per cell
! * symmetry: No. 15
! * formation energy: -18.7 kJ/mol of atoms
&SYSTEM
  ibrav = 0, nat = 6, ntyp = 2
/
ATOMIC_SPECIES
Tb 158.93 Tb.upf
C 12.01 C.upf
ATOMIC_POSITIONS angstrom
Tb -5.081 -3.026 3.318
Tb -3.334 0.737 2.390
C -3.849 -2.769 5.377
C -5.447 -0.656 3.590
C -4.566 0.480 0.331
C -2.968 -1.633 2.118
CELL_PARAMETERS angstrom
-2.577 2.263 1.612
-3.566 -0.736 -1.049
-2.272 -3.817 5.146

***

! Tb4C3 PBE-GGA optimized geometry; values from VASP
! * volume: 250.49 Å³ per cell
! * symmetry: No. 220
! * formation energy: -19.0 kJ/mol of atoms
&SYSTEM
  ibrav = 0, nat = 14, ntyp = 2
/
ATOMIC_SPECIES
Tb 158.93 Tb.upf
C 12.01 C.upf
ATOMIC_POSITIONS angstrom
Tb -0.758 -3.569 -0.148
Tb -0.745 -1.541 2.805
Tb 0.781 1.391 2.333
Tb -3.371 -1.292 0.758
Tb 1.731 3.084 5.171
Tb 2.833 -1.477 2.958
Tb -4.059 -4.497 0.121
Tb 1.208 -4.347 2.436
C 1.115 -1.490 1.210
C 0.467 -2.407 4.751
C -3.612 -0.911 3.835
C 2.006 -4.952 0.198
C -1.796 -3.630 2.072
C -0.562 1.142 4.368
CELL_PARAMETERS angstrom
-6.601 -1.856 0.538
3.907 -5.613 -0.738
1.900 3.386 5.678

***

! TbC2 PBE-GGA optimized geometry; values from VASP
! * energy above the most stable polymorph in this dataset: 82 meV per atom
! * volume: 44.60 Å³ per cell
! * symmetry: No. 71
! * formation energy: -10.7 kJ/mol of atoms
&SYSTEM
  ibrav = 0, nat = 3, ntyp = 2
/
ATOMIC_SPECIES
C 12.01 C.upf
Tb 158.93 Tb.upf
ATOMIC_POSITIONS angstrom
C 1.345 1.401 2.835
C 3.406 0.300 0.345
Tb -0.674 2.480 1.579
CELL_PARAMETERS angstrom
3.931 0.019 0.011
-2.168 3.279 -0.011
1.084 1.541 3.450

***

! TbC4 PBE-GGA optimized geometry; values from VASP
! * volume: 92.06 Å³ per cell
! * symmetry: No. 221
! * formation energy: 398.6 kJ/mol of atoms
&SYSTEM
  ibrav = 0, nat = 5, ntyp = 2
/
ATOMIC_SPECIES
C 12.01 C.upf
Tb 158.93 Tb.upf
ATOMIC_POSITIONS angstrom
C 0.000 0.000 0.000
C 2.258 0.000 2.258
C 0.000 2.258 2.258
C 2.258 2.258 0.000
Tb 2.258 2.258 2.258
CELL_PARAMETERS angstrom
4.515 0.000 0.000
0.000 4.515 0.000
0.000 0.000 4.515

***

! Tb4C PBE-GGA optimized geometry; values from VASP
! * volume: 131.00 Å³ per cell
! * symmetry: No. 221
! * formation energy: 0.5 kJ/mol of atoms
&SYSTEM
  ibrav = 0, nat = 5, ntyp = 2
/
ATOMIC_SPECIES
C 12.01 C.upf
Tb 158.93 Tb.upf
ATOMIC_POSITIONS angstrom
C -3.549 -0.837 2.459
Tb 0.000 0.000 0.000
Tb -1.600 0.637 3.151
Tb -1.922 -2.582 1.592
Tb -3.577 0.272 0.175
CELL_PARAMETERS angstrom
-3.255 3.492 1.734
-3.898 -2.947 -1.384
0.054 -2.218 4.569

***

! Tb2Tc3C2 PBE-GGA optimized geometry; values from VASP
! * volume: 102.92 Å³ per cell
! * symmetry: No. 12
! * formation energy: 1.4 kJ/mol of atoms
&SYSTEM
  ibrav = 0, nat = 7, ntyp = 3
/
ATOMIC_SPECIES
Tb 158.93 Tb.upf
Tc 98.00 Tc.upf
C 12.01 C.upf
ATOMIC_POSITIONS angstrom
Tb 1.577 2.811 1.196
Tb 0.000 -0.738 5.257
Tc 1.577 0.000 0.000
Tc 1.577 0.062 2.904
Tc 0.000 2.011 3.549
C 1.577 1.454 4.872
C 0.000 0.618 1.580
CELL_PARAMETERS angstrom
3.154 0.000 0.000
-1.577 4.913 -0.451
0.000 -2.840 6.903

***

! TbTc3C2 PBE-GGA optimized geometry; values from VASP
! * volume: 167.91 Å³ per cell
! * symmetry: No. 12
! * formation energy: -3.0 kJ/mol of atoms
&SYSTEM
  ibrav = 0, nat = 12, ntyp = 3
/
ATOMIC_SPECIES
Tb 158.93 Tb.upf
Tc 98.00 Tc.upf
C 12.01 C.upf
ATOMIC_POSITIONS angstrom
Tb 0.679 2.683 6.796
Tb 0.573 -1.310 0.850
Tc 1.723 1.278 4.155
Tc 0.682 -0.668 5.776
Tc -0.616 3.177 4.119
Tc 1.868 -1.804 3.526
Tc 0.570 2.041 1.869
Tc -0.471 0.095 3.490
C 2.606 0.084 5.718
C -1.354 1.289 1.928
C -0.304 -1.829 3.267
C 1.556 3.202 4.379
CELL_PARAMETERS angstrom
-3.345 -0.469 1.532
3.736 -5.024 2.130
0.860 6.866 3.983

***

! Tb2Tc5C4 PBE-GGA optimized geometry; values from VASP
! * volume: 149.36 Å³ per cell
! * symmetry: No. 69
! * formation energy: -1.3 kJ/mol of atoms
&SYSTEM
  ibrav = 0, nat = 11, ntyp = 3
/
ATOMIC_SPECIES
Tb 158.93 Tb.upf
Tc 98.00 Tc.upf
C 12.01 C.upf
ATOMIC_POSITIONS angstrom
Tb 5.426 0.000 1.641
Tb 2.713 0.000 3.790
Tc 2.713 0.000 0.000
Tc 1.357 2.534 0.000
Tc 4.070 2.534 0.000
Tc 4.070 2.534 2.715
Tc 6.783 2.534 2.715
C 5.426 1.567 3.955
C 5.426 3.502 1.476
C 2.713 1.567 1.476
C 8.139 3.502 3.955
CELL_PARAMETERS angstrom
5.426 0.000 0.000
2.713 5.069 0.000
2.713 0.000 5.431

***

! Tb2Tc2C3 PBE-GGA optimized geometry; values from VASP
! * volume: 101.96 Å³ per cell
! * symmetry: No. 12
! * formation energy: -32.4 kJ/mol of atoms
&SYSTEM
  ibrav = 0, nat = 7, ntyp = 3
/
ATOMIC_SPECIES
Tb 158.93 Tb.upf
Tc 98.00 Tc.upf
C 12.01 C.upf
ATOMIC_POSITIONS angstrom
Tb 2.258 1.810 3.135
Tb 0.935 -4.039 2.063
Tc 1.399 -0.596 1.302
Tc 1.794 -1.633 3.896
C 0.000 0.000 0.000
C 2.627 -2.153 2.059
C 0.566 -0.076 3.139
CELL_PARAMETERS angstrom
-2.389 -0.817 2.192
1.951 -5.367 0.125
3.630 3.955 2.880

***

! Tb3TcC4 PBE-GGA optimized geometry; values from VASP
! * volume: 114.62 Å³ per cell
! * symmetry: No. 71
! * formation energy: -23.1 kJ/mol of atoms
&SYSTEM
  ibrav = 0, nat = 8, ntyp = 3
/
ATOMIC_SPECIES
Tb 158.93 Tb.upf
Tc 98.00 Tc.upf
C 12.01 C.upf
ATOMIC_POSITIONS angstrom
Tb -0.418 -0.125 -2.284
Tb 2.242 -1.024 -0.355
Tb 2.650 -3.531 -2.660
Tc -0.728 -1.672 0.225
C 4.402 -2.107 -1.416
C 0.490 -2.448 -1.599
C 0.232 -2.524 -2.997
C 4.660 -2.031 -0.018
CELL_PARAMETERS angstrom
-1.456 -3.345 0.450
-0.836 -0.250 -4.567
7.184 -0.960 1.103